Material: Pr2TmMgTe5
Method: DFT, GGA-PBE
State: relaxed

Properties
Total magnetic moment: 0.0 μB/f.u.
Space group: Cmc2_1 (36)
DFT total energy: -4.728 eV/atom

Cell: 4.348 9.819 13.567 Å, 90.00 90.00 102.79°
Element x y z (fractional)
Te 0.282 0.565 0.669
Te 0.362 0.724 0.998
Te 0.497 0.993 0.777
Te 0.718 0.435 0.169
Te 0.638 0.276 0.498
Te 0.948 0.897 0.575
Te 0.310 0.619 0.352
Te 0.052 0.103 0.075
Te 0.690 0.381 0.852
Te 0.503 0.007 0.277
Tm 0.205 0.410 0.013
Tm 0.795 0.590 0.513
Pr 0.133 0.266 0.304
Pr 0.888 0.776 0.181
Pr 0.112 0.224 0.681
Pr 0.867 0.734 0.804
Mg 0.557 0.115 0.955
Mg 0.443 0.885 0.455

---

Material: Pr2YMgTe5
Method: DFT, GGA-PBE
State: relaxed

Properties
Total magnetic moment: 0.0 μB/f.u.
Space group: Cmc2_1 (36)
DFT total energy: -4.968 eV/atom

Cell: 4.371 9.827 13.583 Å, 90.00 90.00 102.85°
Element x y z (fractional)
Te 0.504 0.007 0.277
Te 0.364 0.727 0.999
Te 0.496 0.993 0.777
Te 0.950 0.899 0.575
Te 0.311 0.622 0.349
Te 0.283 0.566 0.670
Te 0.689 0.378 0.849
Te 0.717 0.434 0.170
Te 0.636 0.273 0.499
Te 0.050 0.101 0.075
Mg 0.444 0.889 0.456
Mg 0.556 0.111 0.956
Pr 0.867 0.734 0.804
Pr 0.133 0.266 0.304
Pr 0.888 0.776 0.182
Pr 0.112 0.224 0.682
Y 0.795 0.591 0.512
Y 0.205 0.409 0.012

---

Material: Pr3Y3MgTe8
Method: DFT, GGA-PBE
State: relaxed

Properties
Total magnetic moment: 0.0 μB/f.u.
Space group: R-3m (166)
DFT total energy: -5.370 eV/atom

Cell: 8.818 8.818 8.913 Å, 119.65 90.00 120.00°
Element x y z (fractional)
Pr 0.000 0.500 0.000
Pr 0.000 0.000 0.000
Pr 0.500 0.500 0.000
Te 0.757 0.009 0.265
Te 0.252 0.009 0.265
Te 0.254 0.509 0.263
Te 0.757 0.513 0.265
Te 0.746 0.491 0.737
Te 0.243 0.991 0.735
Te 0.243 0.487 0.735
Te 0.748 0.991 0.735
Y 0.500 0.000 0.500
Y 0.000 0.500 0.500
Y 0.500 0.500 0.500
Mg 0.000 0.000 0.500

---

Material: PrTh2Mg
Method: DFT, GGA-PBE
State: relaxed

Properties
Total magnetic moment: 0.0 μB/f.u.
Space group: Cm (8)
DFT total energy: -5.184 eV/atom
Formation energy from the elements: 0.12 eV per atom
Relative energy among the computed polymorphs: 5.0 kJ per mole of atoms

Cell: 3.473 3.473 12.174 Å, 81.78 81.78 60.01°
Element x y z (fractional)
Th 0.088 0.088 0.740
Th 0.245 0.245 0.259
Pr 0.667 0.667 0.002
Mg 0.500 0.500 0.499

---

Material: Pr5ThMg4
Method: DFT, GGA-PBE
State: relaxed

Properties
Total magnetic moment: 0.0 μB/f.u.
Space group: P4/mmm (123)
DFT total energy: -3.836 eV/atom
Formation energy from the elements: -0.07 eV per atom

Cell: 3.817 3.817 21.139 Å, 90.00 90.00 90.00°
Element x y z (fractional)
Pr 0.500 0.500 0.689
Pr 0.500 0.500 0.890
Pr 0.500 0.500 0.311
Pr 0.500 0.500 0.110
Pr 0.500 0.500 0.500
Mg 0.000 0.000 0.788
Mg 0.000 0.000 0.212
Mg 0.000 0.000 0.405
Mg 0.000 0.000 0.595
Th 0.000 0.000 0.000

---

Material: Pr6ThMg
Method: DFT, GGA-PBE
State: relaxed

Properties
Total magnetic moment: 0.0 μB/f.u.
Space group: P4/mmm (123)
DFT total energy: -4.685 eV/atom
Formation energy from the elements: 0.03 eV per atom
Relative energy among the computed polymorphs: 0.0 kJ per mole of atoms

Cell: 5.155 5.155 10.222 Å, 90.00 90.00 90.00°
Element x y z (fractional)
Pr 0.500 0.000 0.251
Pr 0.500 0.500 0.500
Pr 0.500 0.000 0.749
Pr 0.000 0.500 0.749
Pr 0.500 0.500 0.000
Pr 0.000 0.500 0.251
Th 0.000 0.000 0.500
Mg 0.000 0.000 0.000

---

Material: Pr6ThMg
Method: DFT, GGA-PBE
State: relaxed

Properties
Total magnetic moment: 0.0 μB/f.u.
Space group: I4/mmm (139)
DFT total energy: -4.632 eV/atom
Formation energy from the elements: 0.08 eV per atom
Relative energy among the computed polymorphs: 5.2 kJ per mole of atoms

Cell: 5.961 5.961 8.775 Å, 70.14 70.11 90.00°
Element x y z (fractional)
Pr 0.263 0.263 0.474
Pr 0.884 0.384 0.232
Pr 0.737 0.737 0.526
Pr 0.616 0.116 0.768
Pr 0.116 0.616 0.768
Pr 0.384 0.884 0.232
Mg 0.000 0.000 0.000
Th 0.500 0.500 0.000

---

Material: PrTh2Mg
Method: DFT, GGA-PBE
State: relaxed

Properties
Total magnetic moment: 0.0 μB/f.u.
Space group: R-3m (166)
DFT total energy: -5.062 eV/atom
Formation energy from the elements: 0.24 eV per atom
Relative energy among the computed polymorphs: 16.8 kJ per mole of atoms

Cell: 3.398 3.398 12.827 Å, 82.39 82.39 60.00°
Element x y z (fractional)
Th 0.909 0.909 0.272
Th 0.091 0.091 0.728
Mg 0.500 0.500 0.500
Pr 0.000 0.000 0.000